# 1
First-principles (GGA-PBE) data for crystalline TaZnPb2 at its relaxed geometry, as listed in Alexandria.

```
TaZnPb2
1.0
1.962 -2.481 0.000
1.962 2.481 0.000
0.000 0.000 9.793
Ta Zn Pb
1 1 2
Direct
0.000 0.000 0.000 Ta
0.000 0.000 0.500 Zn
0.500 0.500 0.236 Pb
0.500 0.500 0.764 Pb
```

raw total energy: -4.68 eV/atom
size of the total moment: 0.000 μB per atom
crystal system: orthorhombic
DOS(E_F): 1.559 states/eV/f.u.
formation energy: 0.453 eV/atom

# 2
First-principles (GGA-PBE) data for crystalline TaZn2Pb at its relaxed geometry, as listed in Alexandria.

```
TaZn2Pb
1.0
2.077 -2.137 0.000
2.077 2.137 0.000
0.000 0.000 9.083
Ta Zn Pb
1 2 1
Direct
0.000 0.000 0.000 Ta
0.500 0.500 0.208 Zn
0.500 0.500 0.792 Zn
0.000 0.000 0.500 Pb
```

raw total energy: -4.31 eV/atom
size of the total moment: 0.000 μB per atom
crystal system: orthorhombic
DOS(E_F): 1.184 states/eV/f.u.
formation energy: 0.218 eV/atom

# 3
First-principles (GGA-PBE) data for crystalline Ta2ZnPb at its relaxed geometry, as listed in Alexandria.

```
Ta2ZnPb
1.0
2.957 0.000 0.000
0.000 4.629 0.000
-1.186 0.000 5.595
Ta Zn Pb
2 1 1
Direct
0.243 0.000 0.231 Ta
0.757 0.000 0.769 Ta
0.500 0.500 0.000 Zn
0.000 0.500 0.500 Pb
```

raw total energy: -6.79 eV/atom
size of the total moment: 0.000 μB per atom
crystal system: monoclinic
DOS(E_F): 2.034 states/eV/f.u.
formation energy: 0.381 eV/atom

# 4
First-principles (GGA-PBE) data for crystalline TaZn2Pb at its relaxed geometry, as listed in Alexandria.

```
TaZn2Pb
1.0
5.422 -1.529 0.000
5.422 1.529 0.000
-2.383 0.000 4.586
Ta Zn Pb
1 2 1
Direct
0.000 0.000 0.000 Ta
0.480 0.480 0.510 Zn
0.731 0.731 0.418 Zn
0.248 0.248 0.925 Pb
```

raw total energy: -4.23 eV/atom
size of the total moment: 0.000 μB per atom
crystal system: monoclinic
DOS(E_F): 1.452 states/eV/f.u.
formation energy: 0.293 eV/atom

# 5
First-principles (GGA-PBE) data for crystalline TaZn2Pb2 at its relaxed geometry, as listed in Alexandria.

```
TaZn2Pb2
1.0
7.291 0.000 0.000
0.000 7.291 0.000
0.000 0.000 3.955
Ta Zn Pb
2 4 4
Direct
0.000 0.000 0.000 Ta
0.500 0.500 0.000 Ta
0.127 0.373 0.000 Zn
0.373 0.873 0.000 Zn
0.627 0.127 0.000 Zn
0.873 0.627 0.000 Zn
0.177 0.677 0.500 Pb
0.323 0.177 0.500 Pb
0.677 0.823 0.500 Pb
0.823 0.323 0.500 Pb
```

raw total energy: -3.85 eV/atom
size of the total moment: 0.000 μB per atom
crystal system: tetragonal
energy above the lowest structure with this stoichiometry: 0 meV/atom
DOS(E_F): 4.729 states/eV/f.u.
formation energy: 0.512 eV/atom

# 6
First-principles (GGA-PBE) data for crystalline TaZnPb2 at its relaxed geometry, as listed in Alexandria.

```
TaZnPb2
1.0
0.000 3.622 3.622
3.622 0.000 3.622
3.622 3.622 0.000
Ta Zn Pb
1 1 2
Direct
0.000 0.000 0.000 Ta
0.250 0.250 0.250 Zn
0.500 0.500 0.500 Pb
0.750 0.750 0.750 Pb
```

raw total energy: -4.30 eV/atom
size of the total moment: 0.358 μB per atom
crystal system: cubic
DOS(E_F): 3.917 states/eV/f.u.
formation energy: 0.833 eV/atom